# 1
# DyY2Mg2

A relaxed DyY2Mg2 crystal (PBE-GGA, the Alexandria database).

Lattice parameters (Å, degrees): 5.2414 6.8010 8.2895 90.00 90.00 90.00
Last column: nearest neighbours and their distance in Å.
Space group Immm (No. 71)
Symmetry-distinct sites (fractional):
Dy (0.0000, 0.0000, 0.0000) [2 per cell]  4 Mg 3.28, 4 Y 3.63
Y (0.0000, 0.5000, 0.1972) [4 per cell]  6 Mg 3.19-3.40, 1 Y 3.27
Mg (0.0000, 0.2096, 0.5000) [4 per cell]  1 Mg 2.85

Energy of formation   1.20 kcal/mol of atoms
E above lowest polymorph   131.1 meV per atom
E   -4.092 eV per atom

# 2
# BaSmAu2

A relaxed BaSmAu2 crystal (PBE-GGA, the Alexandria database).

Lattice parameters (Å, degrees): 4.4805 4.4805 22.3934 90.00 90.00 120.00
Last column: nearest neighbours and their distance in Å.
Space group R-3m (No. 166, hexagonal axes)
Symmetry-distinct sites (fractional):
Ba (0.0000, 0.0000, 0.0000) [3 per cell]  6 Au 3.38
Sm (0.0000, 0.0000, 0.5000) [3 per cell]  6 Au 3.02
Au (0.0000, 0.0000, 0.2363) [6 per cell]  3 Sm 3.02, 3 Ba 3.38

Energy of formation   -15.14 kcal/mol of atoms
E   -3.955 eV per atom

Please write out number 2 again, unchanged.
# BaSmAu2

A relaxed BaSmAu2 crystal (PBE-GGA, the Alexandria database).

Lattice parameters (Å, degrees): 4.4805 4.4805 22.3934 90.00 90.00 120.00
Last column: nearest neighbours and their distance in Å.
Space group R-3m (No. 166, hexagonal axes)
Symmetry-distinct sites (fractional):
Ba (0.0000, 0.0000, 0.0000) [3 per cell]  6 Au 3.38
Sm (0.0000, 0.0000, 0.5000) [3 per cell]  6 Au 3.02
Au (0.0000, 0.0000, 0.2363) [6 per cell]  3 Sm 3.02, 3 Ba 3.38

Energy of formation   -15.14 kcal/mol of atoms
E   -3.955 eV per atom